Entry 1:
## Zr4CdIn (PBE-GGA)

Data for a relaxed structure of Zr4CdIn.

Cell and atoms, written as CIF:
```
data_Zr4CdIn
_cell_length_a 4.359
_cell_length_b 4.400
_cell_length_c 7.399
_cell_angle_alpha 90.00
_cell_angle_beta 107.13
_cell_angle_gamma 90.00
_symmetry_space_group_name_H-M 'P 1'
_symmetry_Int_Tables_number 1
loop_
_symmetry_equiv_pos_as_xyz
'x,y,z'
loop_
_atom_site_label
_atom_site_fract_x
_atom_site_fract_y
_atom_site_fract_z
_atom_site_occupancy
Zr1 0.332 0.000 0.664 1
Zr2 0.668 0.000 0.336 1
Zr3 0.832 0.500 0.664 1
Zr4 0.168 0.500 0.336 1
Cd1 0.500 0.500 0.000 1
In1 0.000 0.000 0.000 1
```

Calculated values
ΔE_f	-0.172	eV/atom



Entry 2:
## LaScP2S (PBE-GGA)

Data for a relaxed structure of LaScP2S.

Cell and atoms, written as CIF:
```
data_LaScP2S
_cell_length_a 4.881
_cell_length_b 4.881
_cell_length_c 4.929
_cell_angle_alpha 90.00
_cell_angle_beta 90.00
_cell_angle_gamma 90.00
_symmetry_space_group_name_H-M 'P 1'
_symmetry_Int_Tables_number 1
loop_
_symmetry_equiv_pos_as_xyz
'x,y,z'
loop_
_atom_site_label
_atom_site_fract_x
_atom_site_fract_y
_atom_site_fract_z
_atom_site_occupancy
Sc1 0.000 0.000 0.000 1
P1 0.000 0.500 0.000 1
P2 0.500 0.000 0.000 1
S1 0.000 0.000 0.500 1
La1 0.500 0.500 0.500 1
```

Calculated values
formation energy from raw total energies	-891.6	meV/atom



Number 1: distance to the lowest polymorph of the same formula 0 meV per atom, final energy -6.4800 eV/atom, total magnetic moment 0.00 μB per formula unit. Number 2: distance to the lowest polymorph of the same formula 0 meV per atom, final energy -6.1328 eV/atom, total magnetic moment 0.00 μB per formula unit.